## GdMg2Pb (PBE)

Data for crystalline GdMg2Pb at its relaxed geometry.

Calculated values
As for the symmetry: P4/mmm (123). The calculation puts the total energy at -12.73 eV for the cell shown.

a = 4.576 Å, b = 4.576 Å, c = 4.827 Å
α = 90.00°, β = 90.00°, γ = 90.00°
Positions (direct):
Gd (0.000, 0.000, 0.000)
Mg (0.000, 0.500, 0.500)
Mg (0.500, 0.000, 0.500)
Pb (0.500, 0.500, 0.000)